Record 1
## Er2TmF8 (PBE)

Data for a relaxed Er2TmF8 crystal.

POSCAR file:
```
Er2TmF8
1.0
-5.393 -1.837 1.840
2.492 -3.683 -4.009
2.119 -1.187 3.232
Tm F Er
1 8 2
Cartesian
0.000 0.000 0.000
-0.647 -2.226 -0.169
0.690 -3.261 -2.672
-3.591 -2.259 0.503
-0.315 -1.566 2.318
-2.545 -4.655 0.286
-0.467 -5.141 -1.256
-0.135 -4.481 1.231
1.764 -2.052 0.776
-1.821 -3.019 1.592
1.039 -3.688 -0.530
```

Values from the calculation:
Calculated total energy (eV per cell): -69.802
M_tot (μB/cell): 0.71

***

Record 2
## Gd3Ge4Pb4 (PBE)

Data for a relaxed Gd3Ge4Pb4 crystal.

POSCAR file:
```
Gd3Ge4Pb4
1.0
-2.189 3.577 9.404
2.189 -3.577 9.404
2.189 3.577 -9.404
Pb Gd Ge
4 3 4
Cartesian
0.000 0.000 4.347
2.189 2.137 0.000
0.000 0.000 14.461
0.000 1.440 9.404
0.000 0.000 0.000
0.000 3.577 2.193
2.189 0.000 7.211
2.189 1.330 2.710
0.000 2.247 12.114
2.189 1.330 -2.710
0.000 2.247 6.694
```

Values from the calculation:
Calculated total energy (eV per cell): -48.857
M_tot (μB/cell): 0.03

***

Record 3
## ZrRe2Ge (PBE)

Data for a relaxed ZrRe2Ge crystal.

POSCAR file:
```
ZrRe2Ge
1.0
2.337 -1.241 3.684
-1.326 -3.599 2.421
2.469 -3.805 -0.055
Zr Ge Re
1 1 2
Cartesian
0.870 -2.161 1.512
1.740 -4.322 3.025
2.610 -6.483 4.537
0.000 0.000 0.000
```

Values from the calculation:
Calculated total energy (eV per cell): -37.195
M_tot (μB/cell): 0.14

***

Record 4
## CsTbSnS3 (PBE)

Data for a relaxed CsTbSnS3 crystal.

POSCAR file:
```
CsTbSnS3
1.0
3.457 8.295 -0.988
-4.964 -7.118 -2.536
-9.118 4.441 5.381
Tb S Sn Cs
2 6 2 2
Cartesian
0.000 0.000 0.000
-4.559 2.220 2.690
-4.356 4.388 1.047
-10.679 3.379 3.413
-7.171 -5.875 -1.178
-3.453 11.493 3.034
-6.268 1.230 0.810
0.055 2.239 -1.556
-2.114 3.379 -0.248
-8.510 2.239 2.105
-6.017 6.801 2.563
-4.607 -1.183 -0.706
```

Values from the calculation:
Calculated total energy (eV per cell): -59.190
M_tot (μB/cell): 0.01

***

Record 5
## UGa2As (PBE)

Data for a relaxed UGa2As crystal.

POSCAR file:
```
UGa2As
1.0
4.079 0.000 0.000
0.000 4.079 0.000
0.000 0.000 4.528
U As Ga
1 1 2
Cartesian
2.039 2.039 2.264
0.000 0.000 2.264
0.000 2.039 0.000
2.039 0.000 0.000
```

Values from the calculation:
Calculated total energy (eV per cell): -23.616
M_tot (μB/cell): 1.53

***

Record 6
## La2ZnGa7 (PBE)

Data for a relaxed La2ZnGa7 crystal.

POSCAR file:
```
La2ZnGa7
1.0
4.432 0.000 0.000
0.000 4.432 0.000
0.000 0.000 10.462
La Ga Zn
2 7 1
Cartesian
0.000 2.216 7.852
2.216 0.000 2.610
2.216 2.216 0.000
2.216 2.216 5.231
0.000 0.000 5.231
0.000 2.216 3.848
0.000 2.216 1.360
2.216 0.000 6.614
2.216 0.000 9.102
0.000 0.000 0.000
```

Values from the calculation:
Calculated total energy (eV per cell): -37.389
M_tot (μB/cell): 0.01

***

Record 7
## TmTaTl (PBE)

Data for a relaxed TmTaTl crystal.

POSCAR file:
```
TmTaTl
1.0
0.000 3.397 3.397
3.397 0.000 3.397
3.397 3.397 0.000
Tm Ta Tl
1 1 1
Cartesian
5.096 5.096 5.096
1.699 1.699 1.699
0.000 0.000 0.000
```

Values from the calculation:
E above lowest polymorph (eV/atom): 0.000
M_tot (μB/cell): 0.04

***

Record 8
## DyHoSn2Ir (PBE)

Data for a relaxed DyHoSn2Ir crystal.

POSCAR file:
```
DyHoSn2Ir
1.0
5.458 -2.243 0.000
5.458 2.243 0.000
-4.792 0.000 9.833
Sn Ir Dy Ho
4 2 2 2
Cartesian
4.531 0.000 5.373
1.575 0.000 8.705
4.550 0.000 1.128
1.594 0.000 4.461
-0.217 0.000 6.650
6.341 0.000 3.183
-3.184 0.000 6.617
9.309 0.000 3.216
1.411 0.000 1.281
4.714 0.000 8.553
```

Values from the calculation:
Calculated total energy (eV per cell): -59.944
M_tot (μB/cell): 0.00

***

Record 9
## ErH3O3 (PBE)

Data for a relaxed ErH3O3 crystal.

POSCAR file:
```
ErH3O3
1.0
-5.225 2.910 1.568
3.868 -1.991 4.394
1.661 3.030 -0.089
O H Er
6 6 2
Cartesian
-2.347 4.324 2.732
-0.013 3.072 3.683
2.650 -0.375 3.141
-0.486 3.250 0.914
0.316 0.877 2.190
0.789 0.699 4.959
-0.062 1.163 4.878
0.365 2.786 0.995
-0.490 3.357 4.482
-2.722 4.503 1.852
3.025 -0.554 4.020
0.792 0.592 1.391
-1.779 2.034 2.488
2.082 1.915 3.385
```

Values from the calculation:
Calculated total energy (eV per cell): -86.417
M_tot (μB/cell): 0.00

***

Record 10
## PIrOsO (PBE)

Data for a relaxed PIrOsO crystal.

POSCAR file:
```
PIrOsO
1.0
-2.984 -1.197 -2.578
2.774 -0.415 -3.018
0.898 -5.711 1.612
P Os O Ir
2 2 2 2
Cartesian
2.008 -4.154 -0.395
-1.214 -2.363 -0.791
0.344 -3.661 -1.992
0.449 -2.855 0.806
-0.105 -0.806 -2.798
0.000 0.000 0.000
-0.675 -5.790 0.176
1.469 -0.727 -1.363
```

Values from the calculation:
E above lowest polymorph (eV/atom): 0.266
M_tot (μB/cell): 0.00

***

Record 11
## DyLuNb2Ge2 (PBE)

Data for a relaxed DyLuNb2Ge2 crystal.

POSCAR file:
```
DyLuNb2Ge2
1.0
4.018 0.000 0.000
0.000 4.018 0.000
0.000 0.000 7.767
Ge Lu Nb Dy
2 1 2 1
Cartesian
2.009 2.009 5.837
0.000 0.000 1.947
2.009 2.009 2.720
2.009 0.000 0.009
0.000 2.009 0.009
0.000 0.000 5.011
```

Values from the calculation:
Calculated total energy (eV per cell): -42.371
M_tot (μB/cell): 1.08

***

Record 12
## Li4MgCuGe2 (PBE)

Data for a relaxed Li4MgCuGe2 crystal.

POSCAR file:
```
Li4MgCuGe2
1.0
-2.704 1.504 -3.025
-0.142 -3.922 -1.823
-4.845 -1.493 3.589
Li Mg Ge Cu
4 1 2 1
Cartesian
-1.127 -2.286 -0.129
-2.423 -0.746 1.795
-1.423 -1.209 -2.424
-5.141 -0.415 1.294
-3.846 -1.955 -0.629
-2.479 0.405 -0.677
-3.789 -3.106 1.843
0.000 0.000 0.000
```

Values from the calculation:
Calculated total energy (eV per cell): -24.654

***

Record 13
## MgNbAlOs (PBE)

Data for a relaxed MgNbAlOs crystal.

POSCAR file:
```
MgNbAlOs
1.0
0.000 3.167 3.167
3.167 0.000 3.167
3.167 3.167 0.000
Al Nb Mg Os
1 1 1 1
Cartesian
1.584 1.584 1.584
3.167 3.167 3.167
4.751 4.751 4.751
0.000 0.000 0.000
```

Values from the calculation:
E above lowest polymorph (eV/atom): 0.455
M_tot (μB/cell): 0.78

***

Record 14
## NdDyIn5 (PBE)

Data for a relaxed NdDyIn5 crystal.

POSCAR file:
```
NdDyIn5
1.0
4.733 0.000 0.000
0.000 4.733 0.000
0.000 0.000 8.585
In Nd Dy
5 1 1
Cartesian
0.000 2.366 6.282
2.366 2.366 0.000
2.366 0.000 6.282
2.366 0.000 2.303
0.000 2.366 2.303
0.000 0.000 0.000
0.000 0.000 4.293
```

Values from the calculation:
Calculated total energy (eV per cell): -25.378
M_tot (μB/cell): 0.01

***

Record 15
## Tb2Al3Pt4 (PBE)

Data for a relaxed Tb2Al3Pt4 crystal.

POSCAR file:
```
Tb2Al3Pt4
1.0
-0.152 3.925 -7.164
0.020 1.620 8.008
7.577 0.189 -0.057
Al Pt Tb
6 8 4
Cartesian
1.822 1.960 -3.268
0.000 0.000 0.000
5.689 1.001 3.633
3.723 2.867 0.394
1.756 4.733 -2.846
5.623 3.774 4.055
7.360 2.224 5.182
1.785 4.345 -0.298
3.897 3.293 -2.378
3.548 2.441 3.165
5.660 1.389 1.085
5.594 4.161 1.507
1.851 1.573 -0.720
0.085 3.510 -4.395
4.490 1.976 6.366
0.652 2.546 2.025
2.956 3.758 -5.579
6.794 3.189 -1.238
```

Values from the calculation:
Calculated total energy (eV per cell): -110.520
M_tot (μB/cell): 0.03

***

Record 16
## GdW (PBE)

Data for a relaxed GdW crystal.

POSCAR file:
```
GdW
1.0
4.425 -0.194 -1.306
2.376 -3.932 0.469
1.200 -2.433 -3.737
W Gd
1 1
Cartesian
2.000 -1.640 -1.144
0.000 0.000 0.000
```

Values from the calculation:
E above lowest polymorph (eV/atom): 2.089
M_tot (μB/cell): 3.02

***

Record 17
## GdMgZn (PBE)

Data for a relaxed GdMgZn crystal.

POSCAR file:
```
GdMgZn
1.0
-4.172 -0.897 -5.509
0.865 -4.723 4.521
-5.700 2.672 3.882
Zn Gd Mg
4 4 4
Cartesian
-5.429 0.331 1.782
-7.447 -0.103 -0.883
-5.954 -2.166 2.730
-3.935 -1.732 5.395
-0.079 -2.122 2.609
-5.566 2.609 3.790
-7.703 2.185 1.071
-2.165 -2.570 -0.145
-5.362 -1.823 -0.049
-3.186 0.784 0.092
-5.282 0.333 -2.675
-3.260 -1.305 2.681
```

Values from the calculation:
Calculated total energy (eV per cell): -30.123
M_tot (μB/cell): 0.01

***

Record 18
## K2Rb3ReO6 (PBE)

Data for a relaxed K2Rb3ReO6 crystal.

POSCAR file:
```
K2Rb3ReO6
1.0
2.567 2.868 5.033
-6.299 -0.531 -0.427
1.492 -6.064 1.353
K O Rb Re
2 6 3 1
Cartesian
-3.339 0.604 1.396
-0.393 1.733 3.210
-1.518 -1.105 0.423
0.685 -0.260 1.780
0.529 -4.511 1.949
-0.722 -2.623 5.536
-2.769 0.783 4.010
-2.925 -3.468 4.179
1.792 -0.748 4.772
-4.032 -2.980 1.186
-1.120 -1.864 2.979
0.000 0.000 0.000
```

Values from the calculation:
E above lowest polymorph (eV/atom): 0.000
M_tot (μB/cell): 0.00

***

Record 19
## Hf2ScZn (PBE)

Data for a relaxed Hf2ScZn crystal.

POSCAR file:
```
Hf2ScZn
1.0
0.000 3.441 3.441
3.441 0.000 3.441
3.441 3.441 0.000
Hf Sc Zn
2 1 1
Cartesian
0.000 0.000 0.000
5.162 5.162 5.162
3.441 3.441 3.441
1.721 1.721 1.721
```

Values from the calculation:
Calculated total energy (eV per cell): -26.981
M_tot (μB/cell): 2.31

***

Record 20
## HfGaHg (PBE)

Data for a relaxed HfGaHg crystal.

POSCAR file:
```
HfGaHg
1.0
0.000 3.278 3.278
3.278 0.000 3.278
3.278 3.278 0.000
Hf Hg Ga
1 1 1
Cartesian
0.000 0.000 0.000
4.917 4.917 4.917
1.639 1.639 1.639
```

Values from the calculation:
E above lowest polymorph (eV/atom): 0.070
M_tot (μB/cell): 0.00

***

Record 21
## RbSmLuSe3 (PBE)

Data for a relaxed RbSmLuSe3 crystal.

POSCAR file:
```
RbSmLuSe3
1.0
5.997 5.430 1.378
-7.356 -1.596 -3.269
-4.991 3.039 9.747
Se Rb Sm Lu
6 2 2 2
Cartesian
-3.763 5.654 8.847
-1.806 4.463 5.024
-7.786 -0.406 -0.548
-4.545 2.410 2.832
1.435 7.279 8.404
-2.587 1.219 -0.991
-7.621 2.513 5.252
1.270 4.359 2.604
-2.496 1.519 4.874
0.000 0.000 0.000
-3.984 4.427 6.518
-2.367 2.446 1.338
```

Values from the calculation:
Calculated total energy (eV per cell): -59.978
M_tot (μB/cell): 0.03

***

Record 22
## Pu2F13 (PBE)

Data for a relaxed Pu2F13 crystal.

POSCAR file:
```
Pu2F13
1.0
4.606 0.000 0.000
1.201 5.993 0.000
0.448 3.021 6.771
F Pu
13 2
Cartesian
3.441 3.286 2.925
1.501 1.702 1.571
5.086 4.907 4.648
3.489 2.705 0.280
1.269 2.252 4.106
3.654 5.141 1.052
0.000 0.000 0.000
4.755 7.311 5.200
4.986 6.762 2.665
2.767 6.308 6.491
2.601 3.872 5.719
2.814 5.728 3.847
1.169 4.106 2.124
4.207 3.134 4.787
2.049 5.879 1.985
```

Values from the calculation:
Calculated total energy (eV per cell): -89.433
M_tot (μB/cell): 5.00

***

Record 23
## KZn2CdB2O6F (PBE)

Data for a relaxed KZn2CdB2O6F crystal.

POSCAR file:
```
KZn2CdB2O6F
1.0
-0.695 -0.854 -4.918
-2.567 -2.679 3.410
-10.931 10.190 -0.225
Zn B O K F Cd
4 4 12 2 2 2
Cartesian
-3.201 -0.898 0.608
-10.992 7.555 -2.341
-6.151 1.852 0.547
-8.042 4.805 -2.280
-11.819 7.137 0.431
-2.374 -0.481 -2.164
-8.463 4.007 0.501
-5.731 2.650 -2.234
-3.114 -1.249 -1.289
-11.079 7.905 -0.444
-1.501 0.473 -1.676
-5.485 2.936 -0.904
-6.636 1.664 -2.570
-11.679 7.311 1.793
-7.557 4.993 0.837
-12.692 6.183 -0.057
-2.514 -0.655 -3.526
-9.132 3.317 1.490
-5.061 3.340 -3.223
-8.709 3.720 -0.829
-2.733 2.547 -0.056
-8.198 7.642 -0.168
-9.517 6.180 -2.311
-4.676 0.477 0.578
-5.465 5.095 -0.112
0.000 0.000 0.000
```

Values from the calculation:
Calculated total energy (eV per cell): -150.843